1.
Computed, not measured: a relaxed structure of Hf3TiIn at the PBE-GGA level of DFT.

```
Hf3TiIn
1.0
2.096 -11.440 0.000
2.096 11.440 0.000
0.000 0.000 4.404
Hf Ti In
6 2 2
Direct
0.050 0.950 0.750
0.157 0.843 0.250
0.341 0.659 0.250
0.659 0.341 0.750
0.843 0.157 0.750
0.950 0.050 0.250
0.252 0.748 0.750
0.748 0.252 0.250
0.445 0.555 0.750
0.555 0.445 0.250
```

Properties
polymorph energy (0 for the lowest one): 0 meV/atom
total magnetization: 0.000 μB/f.u.
theoretical density: 10.977 Mg/m³
symmetry: Cmcm, No. 63
formation energy from the elements: -0.06 eV per atom
final energy: -8.16 eV/atom


2.
Computed, not measured: a relaxed structure of ErTmSc at the PBE-GGA level of DFT.

```
ErTmSc
1.0
-1.716 1.716 7.195
1.716 -1.716 7.195
1.716 1.716 -7.195
Er Tm Sc
1 1 1
Direct
0.000 0.000 0.000
0.675 0.675 0.000
0.338 0.338 0.000
```

Properties
polymorph energy (0 for the lowest one): 0 meV/atom
total magnetization: 0.000 μB/f.u.
theoretical density: 7.464 Mg/m³
symmetry: I4mm, No. 107
formation energy from the elements: 0.05 eV per atom
final energy: -5.08 eV/atom


3.
Computed, not measured: a relaxed structure of AcSiHAu at the PBE-GGA level of DFT.

```
AcSiHAu
1.0
4.411 0.000 0.000
-2.205 3.820 0.000
0.000 0.000 4.628
Ac Si H Au
1 1 1 1
Direct
0.000 0.000 0.000
0.667 0.333 0.535
0.333 0.667 0.091
0.333 0.667 0.490
```

Properties
total magnetization: 0.000 μB/f.u.
theoretical density: 9.647 Mg/m³
symmetry: P3m1, No. 156
final energy: -4.60 eV/atom


4.
Computed, not measured: a relaxed structure of SmGdLuSn at the PBE-GGA level of DFT.

```
SmGdLuSn
1.0
0.000 3.845 3.845
3.845 0.000 3.845
3.845 3.845 0.000
Sm Gd Lu Sn
1 1 1 1
Direct
0.000 0.000 0.000
0.500 0.500 0.500
0.250 0.250 0.250
0.750 0.750 0.750
```

Properties
total magnetization: 7.947 μB/f.u.
theoretical density: 8.783 Mg/m³
symmetry: F-43m, No. 216
formation energy from the elements: -0.27 eV per atom
final energy: -7.10 eV/atom


5.
Computed, not measured: a relaxed structure of La2Re at the PBE-GGA level of DFT.

```
La2Re
1.0
-1.768 1.768 7.165
1.768 -1.768 7.165
1.768 1.768 -7.165
La Re
2 1
Direct
0.121 0.121 0.000
0.879 0.879 0.000
0.500 0.500 0.000
```

Properties
polymorph energy (0 for the lowest one): 72 meV/atom
total magnetization: 0.000 μB/f.u.
theoretical density: 8.596 Mg/m³
symmetry: I4/mmm, No. 139
formation energy from the elements: 0.23 eV per atom
final energy: -7.20 eV/atom


6.
Computed, not measured: a relaxed structure of AcAgPd3 at the PBE-GGA level of DFT.

```
AcAgPd3
1.0
6.664 -2.927 0.000
6.664 2.927 0.000
-0.010 0.000 5.434
Ac Ag Pd
2 2 6
Direct
0.133 0.133 0.250
0.867 0.867 0.750
0.500 0.500 0.000
0.500 0.500 0.500
0.108 0.599 0.249
0.317 0.317 0.749
0.401 0.892 0.751
0.599 0.108 0.249
0.683 0.683 0.251
0.892 0.401 0.751
```

Properties
polymorph energy (0 for the lowest one): 0 meV/atom
total magnetization: 0.000 μB/f.u.
theoretical density: 10.248 Mg/m³
symmetry: C2/m, No. 12
formation energy from the elements: -0.50 eV per atom
final energy: -5.01 eV/atom


7.
Computed, not measured: a relaxed structure of GaSiNi4 at the PBE-GGA level of DFT.

```
GaSiNi4
1.0
-2.626 2.857 5.245
2.626 -2.857 5.245
2.626 2.857 -5.245
Ga Si Ni
2 2 8
Direct
0.384 0.134 0.250
0.616 0.866 0.750
0.133 0.383 0.750
0.867 0.617 0.250
0.000 0.252 0.252
0.000 0.748 0.748
0.223 0.000 0.723
0.223 0.500 0.223
0.500 0.252 0.752
0.500 0.748 0.248
0.777 0.000 0.277
0.777 0.500 0.777
```

Properties
polymorph energy (0 for the lowest one): 110 meV/atom
total magnetization: 0.000 μB/f.u.
theoretical density: 7.016 Mg/m³
symmetry: Imma, No. 74
formation energy from raw total energies: -0.25 eV/atom
final energy: -5.51 eV/atom


8.
Computed, not measured: a relaxed structure of PmEuSnHg at the PBE-GGA level of DFT.

```
PmEuSnHg
1.0
0.000 3.870 3.870
3.870 0.000 3.870
3.870 3.870 0.000
Pm Eu Sn Hg
1 1 1 1
Direct
0.000 0.000 0.000
0.500 0.500 0.500
0.750 0.750 0.750
0.250 0.250 0.250
```

Properties
total magnetization: 7.690 μB/f.u.
theoretical density: 8.828 Mg/m³
symmetry: F-43m, No. 216
formation energy from the elements: -0.61 eV per atom
final energy: -5.44 eV/atom


9.
Computed, not measured: a relaxed structure of Ta2TlRh at the PBE-GGA level of DFT.

```
Ta2TlRh
1.0
2.877 -4.247 0.000
2.877 4.247 0.000
0.000 0.000 2.941
Ta Tl Rh
2 1 1
Direct
0.000 0.500 0.000
0.500 0.000 0.000
0.000 0.000 0.500
0.500 0.500 0.500
```

Properties
polymorph energy (0 for the lowest one): 121 meV/atom
total magnetization: 0.000 μB/f.u.
theoretical density: 15.463 Mg/m³
symmetry: Cmmm, No. 65
formation energy from the elements: 0.19 eV per atom
final energy: -8.16 eV/atom


> Which value of theoretical density does entry 1 give?

10.977 Mg/m³